Cr4FeCuS8 GGA-PBE relaxed; formation energy (no corrections) = -0.5981 eV per atom; total magnetization = 14.860 μB per formula unit
1.0
0.000 4.956 4.956
4.956 0.000 4.956
4.956 4.956 0.000
Cr Fe Cu S
4 1 1 8
direct
0.377 0.377 0.377
0.377 0.377 0.868
0.377 0.868 0.377
0.868 0.377 0.377
0.000 0.000 0.000
0.750 0.750 0.750
0.133 0.133 0.133
0.133 0.133 0.601
0.133 0.601 0.133
0.149 0.617 0.617
0.601 0.133 0.133
0.617 0.149 0.617
0.617 0.617 0.149
0.617 0.617 0.617

***

NaYGa2 GGA-PBE relaxed; total magnetization = 0.000 μB per formula unit; ΔE_f = -0.291 eV/atom
1.0
0.000 3.543 3.543
3.543 0.000 3.543
3.543 3.543 0.000
Na Y Ga
1 1 2
direct
0.000 0.000 0.000
0.500 0.500 0.500
0.250 0.250 0.250
0.750 0.750 0.750

***

Rb2Cd4Rh GGA-PBE relaxed; total magnetization = 0.000 μB per formula unit; ΔE_f = -0.046 eV/atom
1.0
-2.674 2.674 9.176
2.674 -2.674 9.176
2.674 2.674 -9.176
Rb Cd Rh
2 4 1
direct
0.149 0.149 0.000
0.851 0.851 0.000
0.000 0.500 0.500
0.357 0.357 0.000
0.500 0.000 0.500
0.643 0.643 0.000
0.500 0.500 0.000

***

Na2SrSb2Au2 GGA-PBE relaxed; formation energy (no corrections) = -0.6269 eV per atom; total magnetization = 0.000 μB per formula unit
1.0
2.411 1.392 9.383
-2.411 1.392 9.383
0.000 -2.784 9.383
Na Sr Sb Au
2 1 2 2
direct
0.135 0.135 0.135
0.865 0.865 0.865
0.000 0.000 0.000
0.255 0.255 0.255
0.745 0.745 0.745
0.409 0.409 0.409
0.591 0.591 0.591

***

LiSc5Rh4 GGA-PBE relaxed; total magnetization = 0.000 μB per formula unit; ΔE_f = -0.798 eV/atom
1.0
3.227 0.000 0.000
0.000 3.227 0.000
0.000 0.000 17.083
Li Sc Rh
1 5 4
direct
0.000 0.000 0.000
0.500 0.500 0.122
0.500 0.500 0.310
0.500 0.500 0.500
0.500 0.500 0.690
0.500 0.500 0.878
0.000 0.000 0.212
0.000 0.000 0.405
0.000 0.000 0.595
0.000 0.000 0.788

***

NaLaSc2Te4 GGA-PBE relaxed; formation energy (no corrections) = -1.2690 eV per atom; total magnetization = 0.000 μB per formula unit
1.0
7.474 0.000 0.000
0.000 4.297 0.000
-2.462 0.000 7.283
Na La Sc Te
1 1 2 4
direct
0.000 0.000 0.000
0.500 0.500 0.000
0.000 0.500 0.500
0.500 0.000 0.500
0.236 0.000 0.724
0.255 0.500 0.275
0.745 0.500 0.725
0.764 0.000 0.276

***

RbCrCoHg2 GGA-PBE relaxed; total magnetization = 7.277 μB per formula unit; ΔE_f = 1.106 eV/atom
1.0
5.427 0.000 0.000
0.000 5.427 0.000
0.000 0.000 6.472
Rb Cr Co Hg
1 1 1 2
direct
0.000 0.000 0.000
0.000 0.000 0.500
0.500 0.500 0.000
0.000 0.500 0.500
0.500 0.000 0.500

***

GaBi2Cl GGA-PBE relaxed; formation energy (no corrections) = -0.0712 eV per atom; total magnetization = 0.000 μB per formula unit
1.0
0.000 3.691 3.691
3.691 0.000 3.691
3.691 3.691 0.000
Ga Bi Cl
1 2 1
direct
0.000 0.000 0.000
0.250 0.250 0.250
0.750 0.750 0.750
0.500 0.500 0.500